This record from the Alexandria database describes an optimized crystal structure of Dy5PdRu2. The functional is PBE.

Results
Final energy in Ry per atom: -0.466
Size of the total moment in μB/f.u.: 0.00
Formation energy from the elements in eV per formula unit: -3.93

Geometry as extended XYZ:
```
16
Lattice="6.925 0.000 -3.269 -1.543 6.751 -3.269 -0.252 -0.316 8.436" Properties=species:S:1:pos:R:3 pbc="T T T"
Dy 0.760 5.296 -1.248
Dy 5.970 3.145 -2.435
Dy 2.788 1.921 -0.207
Dy -0.840 3.290 4.333
Dy 2.343 4.515 2.105
Dy 4.371 1.139 3.147
Dy 0.000 0.000 0.000
Dy 2.691 3.375 -3.269
Dy 3.942 6.521 -3.476
Dy 1.188 -0.086 5.374
Pd 1.220 1.530 2.584
Pd 3.911 4.905 -0.685
Ru 4.227 0.959 -2.563
Ru 4.950 4.335 -4.904
Ru 0.432 2.416 -1.635
Ru 1.155 5.792 -3.975
```



This record from the Alexandria database describes an optimized crystal structure of Dy4Pd2Ru. The functional is PBE.

Results
Final energy in Ry per atom: -0.445
Size of the total moment in μB/f.u.: 0.00
Formation energy from the elements in eV per formula unit: -4.29

Geometry as extended XYZ:
```
7
Lattice="4.812 0.000 0.000 0.000 5.544 -2.388 0.000 0.328 6.028" Properties=species:S:1:pos:R:3 pbc="T T T"
Ru 2.406 2.936 1.820
Pd 0.000 1.647 3.899
Pd 0.000 4.225 -0.259
Dy 0.000 1.489 0.923
Dy 0.000 4.383 2.717
Dy 2.406 2.772 -1.194
Dy 2.406 0.164 3.014
```